A plane-wave DFT calculation with PBE was carried out for a relaxed K2NaClF6 crystal.

```
K2NaClF6
1.0
-1.649 2.907 -4.488
-5.338 -1.176 1.201
-3.806 5.270 1.276
K Na Cl F
2 1 1 6
Cartesian
-4.474 4.527 -2.425
-6.319 2.475 0.414
0.000 0.000 0.000
-3.494 0.866 -1.643
-3.647 3.406 0.064
-4.711 1.652 -2.753
-8.658 5.376 0.584
-2.134 1.626 -2.594
-6.082 5.350 0.742
-7.145 3.596 -2.075
```

Output
Size of the total moment in μB/f.u.: 0.20
Formation energy (no corrections) in eV/atom: -1.924
Crystal system: triclinic
Space group: P-1, No. 2